An optimized crystal structure of Lu2TlZn, computed with PBE.

Summary:
**Electronic total energy**: -3.030 eV per atom
**ρ**: 10.302 g/cm³

Lattice parameters (Å, degrees): 5.2080 5.2080 5.2080 60.00 60.00 60.00
Last column: nearest neighbours and their distance in Å.
Sites, in units of the cell vectors:
Lu 0.0000 0.0000 0.0000  4 Zn 3.19, 4 Lu 3.19
Lu 0.7500 0.7500 0.7500  4 Tl 3.19, 4 Lu 3.19
Tl 0.5000 0.5000 0.5000  4 Zn 3.19, 4 Lu 3.19
Zn 0.2500 0.2500 0.2500  4 Tl 3.19, 4 Lu 3.19